1.
DFT (PBE) results for a relaxed SbW crystal.

Output
Raw formation energy = 0.571 eV per atom
Offset from the most stable computed form = 301 meV/atom
Space group = Amm2, No. 38
Uncorrected energy = -7.967 eV/atom
Calculated volume = 266 Å³/cell

Geometry as extended XYZ:
```
12
Lattice="-2.652 0.849 1.924 -3.721 -11.444 -0.080 3.523 -1.183 5.378" Properties=species:S:1:pos:R:3 pbc="T T T"
Sb 0.788 -2.345 5.098
Sb 0.471 -0.158 0.719
Sb -2.834 -7.476 2.369
Sb -1.726 -10.075 5.044
Sb -1.626 -3.762 2.395
Sb 0.372 -6.472 3.368
W 0.848 -2.525 2.283
W -1.560 -9.930 2.231
W 2.062 -4.800 4.960
W 0.749 -8.838 4.932
W 0.234 -6.447 6.145
W 0.333 -0.133 3.496
```

2.
DFT (PBE) results for a relaxed Sb3W crystal.

Output
Raw formation energy = 1.001 eV per atom
Offset from the most stable computed form = 706 meV/atom
Space group = Pm-3m, No. 221
Uncorrected energy = -5.329 eV/atom
Calculated volume = 95 Å³/cell

Geometry as extended XYZ:
```
4
Lattice="-2.491 2.950 2.418 -3.311 -0.238 -3.121 -1.895 -3.464 2.274" Properties=species:S:1:pos:R:3 pbc="T T T"
Sb -2.603 -1.851 -0.424
Sb -2.193 -0.257 2.346
Sb -2.901 1.356 -0.351
W 0.000 0.000 0.000
```

3.
DFT (PBE) results for a relaxed Sb3W crystal.

Output
Raw formation energy = 0.386 eV per atom
Offset from the most stable computed form = 91 meV/atom
Space group = P4/mmm, No. 123
Uncorrected energy = -5.944 eV/atom
Calculated volume = 90 Å³/cell

Geometry as extended XYZ:
```
4
Lattice="-1.635 1.532 2.596 -3.013 -0.758 -1.450 -0.165 -6.652 3.822" Properties=species:S:1:pos:R:3 pbc="T T T"
Sb -0.090 -3.621 2.081
Sb -2.365 -1.276 1.528
Sb -0.158 -6.356 3.652
W -2.448 -4.602 3.439
```

4.
DFT (PBE) results for a relaxed Sb5W3 crystal.

Output
Raw formation energy = 0.798 eV per atom
Space group = Cmmm, No. 65
Uncorrected energy = -6.636 eV/atom
Calculated volume = 166 Å³/cell

Geometry as extended XYZ:
```
8
Lattice="3.476 -5.012 0.000 3.476 5.012 0.000 0.000 0.000 4.751" Properties=species:S:1:pos:R:3 pbc="T T T"
Sb 1.738 2.506 0.000
Sb 1.893 0.000 2.376
Sb 5.059 0.000 2.376
Sb 1.738 -2.506 0.000
Sb 0.000 0.000 0.000
W 3.476 -2.305 2.376
W 3.476 0.000 0.000
W 3.476 2.305 2.376
```

5.
DFT (PBE) results for a relaxed YSb2W crystal.

Output
Raw formation energy = 0.242 eV per atom
Offset from the most stable computed form = 297 meV/atom
Space group = I-4m2, No. 119
Uncorrected energy = -6.674 eV/atom
Calculated volume = 91 Å³/cell

Geometry as extended XYZ:
```
4
Lattice="5.749 0.010 0.000 2.486 5.183 0.000 -4.117 -2.597 3.058" Properties=species:S:1:pos:R:3 pbc="T T T"
Y 2.874 0.005 1.529
W 4.117 2.597 0.000
Sb 0.000 0.000 0.000
Sb 1.243 2.592 1.529
```

6.
DFT (PBE) results for a relaxed YSb2W crystal.

Output
Raw formation energy = 0.141 eV per atom
Offset from the most stable computed form = 196 meV/atom
Space group = P4/mmm, No. 123
Uncorrected energy = -6.774 eV/atom
Calculated volume = 89 Å³/cell

Geometry as extended XYZ:
```
4
Lattice="4.985 0.016 0.004 -0.017 4.985 0.004 -0.003 -0.003 3.564" Properties=species:S:1:pos:R:3 pbc="T T T"
Sb 0.000 0.000 0.000
Sb 2.484 2.500 0.004
Y -0.010 2.491 1.784
W 2.491 0.006 1.784
```

7.
DFT (PBE) results for a relaxed YSb2W crystal.

Output
Raw formation energy = -0.001 eV per atom
Offset from the most stable computed form = 54 meV/atom
Space group = C2/m, No. 12
Uncorrected energy = -6.916 eV/atom
Calculated volume = 97 Å³/cell

Geometry as extended XYZ:
```
4
Lattice="-0.466 3.557 2.603 -0.365 0.221 4.412 6.169 1.313 2.078" Properties=species:S:1:pos:R:3 pbc="T T T"
Y 1.335 1.273 2.273
Sb 2.937 2.562 4.561
Sb 5.902 1.297 2.063
W 4.004 3.819 6.819
```

8.
DFT (PBE) results for a relaxed YSbW crystal.

Output
Raw formation energy = 0.283 eV per atom
Offset from the most stable computed form = 209 meV/atom
Space group = P3m1, No. 156
Uncorrected energy = -7.564 eV/atom
Calculated volume = 71 Å³/cell

Geometry as extended XYZ:
```
3
Lattice="-2.186 2.525 -0.946 0.601 -2.667 -2.139 -5.130 -3.394 2.792" Properties=species:S:1:pos:R:3 pbc="T T T"
W -2.868 -0.272 -0.467
Y -3.674 -3.150 0.080
Sb -0.173 -0.114 0.094
```

9.
DFT (PBE) results for a relaxed YSb2W crystal.

Output
Raw formation energy = 0.116 eV per atom
Offset from the most stable computed form = 171 meV/atom
Space group = P2/m, No. 10
Uncorrected energy = -6.799 eV/atom
Calculated volume = 91 Å³/cell

Geometry as extended XYZ:
```
4
Lattice="-0.456 1.253 -4.269 -3.315 -0.336 0.256 -1.439 5.733 1.836" Properties=species:S:1:pos:R:3 pbc="T T T"
Y -3.793 4.674 -0.566
W -1.417 1.976 -1.612
Sb -0.310 0.057 0.050
Sb -2.067 2.641 0.996
```

10.
DFT (PBE) results for a relaxed YSb2W crystal.

Output
Raw formation energy = 0.436 eV per atom
Offset from the most stable computed form = 491 meV/atom
Space group = F-43m, No. 216
Uncorrected energy = -6.479 eV/atom
Calculated volume = 92 Å³/cell

Geometry as extended XYZ:
```
4
Lattice="-4.039 1.497 2.653 -3.036 -3.435 2.139 -0.063 -0.537 5.030" Properties=species:S:1:pos:R:3 pbc="T T T"
W -3.569 -1.238 4.912
Sb -1.785 -0.619 2.456
Sb 0.000 0.000 0.000
Y -5.354 -1.857 7.367
```

11.
DFT (PBE) results for a relaxed Y4SbW crystal.

Output
Raw formation energy = 0.745 eV per atom
Space group = F-43m, No. 216
Uncorrected energy = -6.411 eV/atom
Calculated volume = 159 Å³/cell

Geometry as extended XYZ:
```
6
Lattice="0.000 4.296 4.296 4.296 0.000 4.296 4.296 4.296 0.000" Properties=species:S:1:pos:R:3 pbc="T T T"
Sb 6.444 6.444 6.444
Y 5.386 3.205 5.386
Y 3.205 3.205 3.205
Y 3.205 5.386 5.386
Y 5.386 5.386 3.205
W 0.000 0.000 0.000
```

12.
DFT (PBE) results for a relaxed YSb2W crystal.

Output
Raw formation energy = -0.014 eV per atom
Offset from the most stable computed form = 41 meV/atom
Space group = Fm-3m, No. 225
Uncorrected energy = -6.930 eV/atom
Calculated volume = 87 Å³/cell

Geometry as extended XYZ:
```
4
Lattice="0.000 3.517 3.517 3.517 0.000 3.517 3.517 3.517 0.000" Properties=species:S:1:pos:R:3 pbc="T T T"
Y 0.000 0.000 0.000
W 3.517 3.517 3.517
Sb 5.276 5.276 5.276
Sb 1.759 1.759 1.759
```